Record 1
## KRb2HfP (PBE-GGA)

Data for crystalline KRb2HfP at its relaxed geometry.

Magnetization = 2.00 μB per formula unit
Energy of formation from the pure elements = 1.29 eV per atom
DOS at the Fermi energy = 3.9 states/eV per cell
VASP energy = -0.088 Ha/atom

Unit cell a=6.3153 b=6.3153 c=5.6503 alpha=90.00 beta=90.00 gamma=90.00
With the nearest neighbours (Å) after each atom.
Space group P4/mmm (No. 123)
Symmetry-distinct sites (fractional):
K (0.0000, 0.0000, 0.0000)  2 P 2.83, 4 Rb 3.16
Rb (0.0000, 0.5000, 0.0000)  2 K 3.16
Hf (0.5000, 0.5000, 0.5000)  8 Rb 4.24, 4 P 4.47
P (0.0000, 0.0000, 0.5000)  2 K 2.83

***

Record 2
## KHfP2Ru (PBE-GGA)

Data for crystalline KHfP2Ru at its relaxed geometry.

Magnetization = 2.28 μB per formula unit
Energy of formation from the pure elements = 1.27 eV per atom
DOS at the Fermi energy = 4.8 states/eV per cell
VASP energy = -0.182 Ha/atom

Unit cell a=4.9523 b=4.9523 c=5.8439 alpha=90.00 beta=90.00 gamma=90.00
With the nearest neighbours (Å) after each atom.
Space group P4/mmm (No. 123)
Symmetry-distinct sites (fractional):
K (0.0000, 0.0000, 0.0000)  2 Hf 2.92
Hf (0.0000, 0.0000, 0.5000)  4 P 2.48
P (0.0000, 0.5000, 0.5000)  2 Hf 2.48
Ru (0.5000, 0.5000, 0.0000)  4 K 3.50, 8 P 3.83

***

Record 3
## KHfP2S (PBE-GGA)

Data for crystalline KHfP2S at its relaxed geometry.

Magnetization = 0.00 μB per formula unit
DOS at the Fermi energy = 4.4 states/eV per cell
VASP energy = -0.133 Ha/atom
Offset from the most stable computed form = 2024 meV/atom

Unit cell a=4.8552 b=4.8552 c=5.0615 alpha=90.00 beta=90.00 gamma=90.00
With the nearest neighbours (Å) after each atom.
Space group P4/mmm (No. 123)
Symmetry-distinct sites (fractional):
K (0.0000, 0.0000, 0.0000)  4 P 2.43, 2 S 2.53
Hf (0.5000, 0.5000, 0.5000)  4 S 3.43, 8 P 3.51
P (0.0000, 0.5000, 0.0000)  2 K 2.43
S (0.0000, 0.0000, 0.5000)  2 K 2.53

***

Record 4
## KHfPS6 (PBE-GGA)

Data for crystalline KHfPS6 at its relaxed geometry.

Magnetization = 0.54 μB per formula unit
DOS at the Fermi energy = 8.9 states/eV per cell
VASP energy = -0.187 Ha/atom

Unit cell a=6.2037 b=6.2037 c=7.3347 alpha=90.00 beta=90.00 gamma=120.00
With the nearest neighbours (Å) after each atom.
Space group P312 (No. 149)
Symmetry-distinct sites (fractional):
K (0.0000, 0.0000, 0.0000)  6 S 3.27
Hf (0.3333, 0.6667, 0.5000)  6 S 2.52
P (0.6667, 0.3333, 0.5000)  6 S 2.23
S (0.3839, 0.0358, 0.6800)  1 P 2.23

***

Record 5
## KHfP2S8 (PBE-GGA)

Data for crystalline KHfP2S8 at its relaxed geometry.

Magnetization = 0.86 μB per formula unit
DOS at the Fermi energy = 8.6 states/eV per cell
VASP energy = -0.189 Ha/atom

Unit cell a=6.0902 b=6.0902 c=9.0834 alpha=90.00 beta=90.00 gamma=120.00
With the nearest neighbours (Å) after each atom.
Space group P-3 (No. 147)
Symmetry-distinct sites (fractional):
K (0.0000, 0.0000, 0.0000)  12 S 3.55-3.69
Hf (0.0000, 0.0000, 0.5000)  6 S 2.55
P (0.3333, 0.6667, 0.7278)  4 S 2.01-2.08
S (0.0039, 0.3420, 0.6638)  1 P 2.08
S (0.3333, 0.6667, 0.9495)  1 P 2.01

***

Record 6
## KHfP2S (PBE-GGA)

Data for crystalline KHfP2S at its relaxed geometry.

Magnetization = 0.00 μB per formula unit
DOS at the Fermi energy = 4.4 states/eV per cell
VASP energy = -0.207 Ha/atom
Offset from the most stable computed form = 0 meV/atom

Unit cell a=5.0566 b=5.0566 c=5.0403 alpha=90.00 beta=90.00 gamma=90.00
With the nearest neighbours (Å) after each atom.
Space group P4/mmm (No. 123)
Symmetry-distinct sites (fractional):
K (0.0000, 0.0000, 0.0000)  8 P 3.57, 4 S 3.58
Hf (0.5000, 0.5000, 0.5000)  2 S 2.52, 4 P 2.53
P (0.0000, 0.5000, 0.5000)  2 Hf 2.53
S (0.5000, 0.5000, 0.0000)  2 Hf 2.52

***

Record 7
## KHf2SbP (PBE-GGA)

Data for crystalline KHf2SbP at its relaxed geometry.

Magnetization = 1.28 μB per formula unit
DOS at the Fermi energy = 7.0 states/eV per cell
VASP energy = -0.184 Ha/atom

Unit cell a=5.3192 b=5.3192 c=5.8982 alpha=90.00 beta=90.00 gamma=90.00
With the nearest neighbours (Å) after each atom.
Space group P4/mmm (No. 123)
Symmetry-distinct sites (fractional):
K (0.0000, 0.0000, 0.0000)  2 Sb 2.95
Hf (0.0000, 0.5000, 0.5000)  2 Sb 2.66
Sb (0.0000, 0.0000, 0.5000)  4 Hf 2.66, 2 K 2.95
P (0.5000, 0.5000, 0.0000)  4 K 3.76, 8 Hf 3.97

***

Record 8
## KHfP2Se8 (PBE-GGA)

Data for crystalline KHfP2Se8 at its relaxed geometry.

Magnetization = 0.01 μB per formula unit
DOS at the Fermi energy = 10.2 states/eV per cell
VASP energy = -0.168 Ha/atom

Unit cell a=6.4215 b=6.4215 c=9.3253 alpha=90.00 beta=90.00 gamma=120.00
With the nearest neighbours (Å) after each atom.
Space group P-3 (No. 147)
Symmetry-distinct sites (fractional):
K (0.0000, 0.0000, 0.0000)  12 Se 3.72-3.80
Hf (0.0000, 0.0000, 0.5000)  6 Se 2.67
P (0.3333, 0.6667, 0.7306)  4 Se 2.18-2.27
Se (0.0138, 0.6672, 0.3342)  1 P 2.27
Se (0.3333, 0.6667, 0.9647)  1 P 2.18

***

Record 9
## KHfPSe6 (PBE-GGA)

Data for crystalline KHfPSe6 at its relaxed geometry.

Magnetization = 0.00 μB per formula unit
DOS at the Fermi energy = 7.1 states/eV per cell
VASP energy = -0.168 Ha/atom

Unit cell a=6.3575 b=6.3575 c=8.0335 alpha=90.00 beta=90.00 gamma=120.00
With the nearest neighbours (Å) after each atom.
Space group P312 (No. 149)
Symmetry-distinct sites (fractional):
K (0.0000, 0.0000, 0.0000)  6 Se 3.39
Hf (0.6667, 0.3333, 0.5000)  6 Se 2.63
P (0.3333, 0.6667, 0.5000)  6 Se 2.45
Se (0.0218, 0.3700, 0.3122)  1 P 2.45, 1 Hf 2.63

***

Record 10
## KHfPa2S8 (PBE-GGA)

Data for crystalline KHfPa2S8 at its relaxed geometry.

Magnetization = 0.00 μB per formula unit
DOS at the Fermi energy = 5.6 states/eV per cell
VASP energy = -0.241 Ha/atom

Unit cell a=6.2217 b=8.4056 c=6.2980 alpha=90.00 beta=91.54 gamma=90.00
With the nearest neighbours (Å) after each atom.
Space group P2/m (No. 10)
Symmetry-distinct sites (fractional):
K (0.0000, 0.0000, 0.0000)  6 S 2.93-3.06
Hf (0.0000, 0.5000, 0.0000)  6 S 2.51-2.67
Pa (0.5000, 0.2486, 0.5000)  6 S 2.59-2.79
S (0.2153, 0.2932, 0.1987)  1 Hf 2.51, 1 Pa 2.59
S (0.2923, 0.5000, 0.6984)  1 Hf 2.67, 2 Pa 2.79
S (0.3058, 0.0000, 0.6537)  2 Pa 2.61

***

Record 11
## K3HfPa3Se8 (PBE-GGA)

Data for crystalline K3HfPa3Se8 at its relaxed geometry.

Magnetization = 5.79 μB per formula unit
DOS at the Fermi energy = 46.2 states/eV per cell
VASP energy = -0.220 Ha/atom

Unit cell a=8.0962 b=8.0962 c=24.1664 alpha=90.00 beta=90.00 gamma=120.00
With the nearest neighbours (Å) after each atom.
Space group R-3m (No. 166, hexagonal axes)
Symmetry-distinct sites (fractional):
K (0.0000, 0.5000, 0.0000)  6 Se 3.27-3.32
Hf (0.0000, 0.0000, 0.5000)  6 Se 2.75
Pa (0.0000, 0.5000, 0.5000)  6 Se 2.89-2.92
Se (0.0000, 0.0000, 0.2389)  3 Pa 2.92, 3 K 3.27
Se (0.0165, 0.5083, 0.2338)  1 Hf 2.75, 2 Pa 2.89

***

Record 12
## K3HfPa3Te8 (PBE-GGA)

Data for crystalline K3HfPa3Te8 at its relaxed geometry.

Magnetization = 5.80 μB per formula unit
DOS at the Fermi energy = 37.3 states/eV per cell
VASP energy = -0.197 Ha/atom

Unit cell a=14.8668 b=8.5716 c=10.0227 alpha=90.00 beta=119.67 gamma=90.00
With the nearest neighbours (Å) after each atom.
Space group C2/m (No. 12)
Symmetry-distinct sites (fractional):
K (0.0000, 0.0000, 0.0000)  6 Te 3.48-3.53
K (0.2500, 0.2500, 0.0000)  6 Te 3.48-3.53
Hf (0.0000, 0.0000, 0.5000)  6 Te 2.97
Pa (0.0000, 0.5000, 0.5000)  6 Te 3.10-3.12
Pa (0.2500, 0.2500, 0.5000)  6 Te 3.10-3.12
Te (0.0111, 0.2389, 0.2945)  1 Hf 2.97, 2 Pa 3.10
Te (0.2277, 0.0000, 0.7055)  1 Hf 2.97, 2 Pa 3.10
Te (0.2396, 0.5000, 0.7188)  3 Pa 3.12, 3 K 3.48